Li3FePb | PBE | relaxed

Values from the calculation:
crystal system: cubic
VASP energy: -3.04 eV/atom
mass density: 4.43 g cm⁻³
DFT formation energy: 0.5430 eV/atom

The structure in CIF format:
```
data_Li3FePb
_chemical_formula_sum 'Li3 Fe1 Pb1'
_cell_length_a 4.7386
_cell_length_b 4.7386
_cell_length_c 4.7386
_cell_angle_alpha 90.00
_cell_angle_beta 90.00
_cell_angle_gamma 90.00
_symmetry_space_group_name_H-M 'P m -3 m'
_symmetry_Int_Tables_number 221
_symmetry_space_group_name_Hall '-P 4 2 3'
loop_
_atom_site_label
_atom_site_fract_x
_atom_site_fract_y
_atom_site_fract_z
Li1 0.0000 0.0000 0.5000
Fe1 0.0000 0.0000 0.0000
Pb1 0.5000 0.5000 0.5000
```